# 1
# Rb3Pm3HfSe8

A relaxed structure of Rb3Pm3HfSe8 (GGA-PBE, Alexandria).

```
Rb3Pm3HfSe8
1.0
4.2215 2.4373 8.1785
-4.2215 2.4373 8.1785
0.0000 -4.8746 8.1785
Rb Pm Hf Se
3 3 1 8
direct
0.0000 0.5000 0.5000
0.5000 0.0000 0.5000
0.5000 0.5000 0.0000
0.0000 0.0000 0.5000
0.0000 0.5000 0.0000
0.5000 0.0000 0.0000
0.5000 0.5000 0.5000
0.2335 0.2335 0.2335
0.2539 0.7174 0.7174
0.2826 0.2826 0.7461
0.2826 0.7461 0.2826
0.7174 0.2539 0.7174
0.7174 0.7174 0.2539
0.7461 0.2826 0.2826
0.7665 0.7665 0.7665
```

Results
Total energy in Ry/atom: -0.391
SG: No. 166
Uncorrected formation energy in meV per atom: -1658
Magnetic moment in μB/f.u.: 0.00
Calculated volume in A^3/atom: 33.66
Crystal system: trigonal


# 2
# Rb2Pm2HfTe6

A relaxed structure of Rb2Pm2HfTe6 (GGA-PBE, Alexandria).

```
Rb2Pm2HfTe6
1.0
3.8478 -6.6090 0.0000
3.8478 6.6090 0.0000
-2.7059 0.0000 8.7658
Rb Pm Hf Te
2 2 1 6
direct
0.1731 0.8269 0.0000
0.8269 0.1731 0.0000
0.3323 0.6677 0.5000
0.6677 0.3323 0.5000
0.0000 0.0000 0.5000
0.0724 0.3808 0.6978
0.2415 0.2415 0.3047
0.3808 0.0724 0.6978
0.6192 0.9276 0.3022
0.7585 0.7585 0.6953
0.9276 0.6192 0.3022
```

Results
Total energy in Ry/atom: -0.359
SG: No. 12
Uncorrected formation energy in meV per atom: -1229
Magnetic moment in μB/f.u.: 0.00
Calculated volume in A^3/atom: 40.53
Crystal system: monoclinic


# 3
# Rb4Pm3HfTe8

A relaxed structure of Rb4Pm3HfTe8 (GGA-PBE, Alexandria).

```
Rb4Pm3HfTe8
1.0
4.5081 2.6028 8.6009
-4.5081 2.6028 8.6009
0.0000 -5.2055 8.6009
Rb Pm Hf Te
4 3 1 8
direct
0.0000 0.0000 0.0000
0.0000 0.5000 0.5000
0.5000 0.0000 0.5000
0.5000 0.5000 0.0000
0.0000 0.0000 0.5000
0.0000 0.5000 0.0000
0.5000 0.0000 0.0000
0.5000 0.5000 0.5000
0.2362 0.2362 0.2362
0.2533 0.7225 0.7225
0.2775 0.2775 0.7467
0.2775 0.7467 0.2775
0.7225 0.2533 0.7225
0.7225 0.7225 0.2533
0.7467 0.2775 0.2775
0.7638 0.7638 0.7638
```

Results
Total energy in Ry/atom: -0.336
SG: No. 166
Uncorrected formation energy in meV per atom: -1251
Magnetic moment in μB/f.u.: 0.00
Calculated volume in A^3/atom: 37.85
Crystal system: trigonal


# 4
# Rb3Pm2HfTe6

A relaxed structure of Rb3Pm2HfTe6 (GGA-PBE, Alexandria).

```
Rb3Pm2HfTe6
1.0
3.8722 -6.7080 0.0000
3.8722 6.7080 0.0000
-2.5932 0.0000 8.5989
Rb Pm Hf Te
3 2 1 6
direct
0.0000 0.0000 0.0000
0.3268 0.6732 0.0000
0.6732 0.3268 0.0000
0.1659 0.8341 0.5000
0.8341 0.1659 0.5000
0.5000 0.5000 0.5000
0.1214 0.4336 0.3005
0.2561 0.2561 0.7016
0.4336 0.1214 0.3005
0.5664 0.8786 0.6995
0.7439 0.7439 0.2984
0.8786 0.5664 0.6995
```

Results
Total energy in Ry/atom: -0.341
SG: No. 12
Uncorrected formation energy in meV per atom: -1203
Magnetic moment in μB/f.u.: 0.00
Calculated volume in A^3/atom: 37.23
Crystal system: monoclinic


# 5
# PmHf2Re

A relaxed structure of PmHf2Re (GGA-PBE, Alexandria).

```
PmHf2Re
1.0
3.3214 0.0000 0.0000
0.0000 3.3214 0.0000
0.0000 0.0000 8.2724
Pm Hf Re
1 2 1
direct
0.0000 0.0000 0.0000
0.5000 0.5000 0.3136
0.5000 0.5000 0.6864
0.0000 0.0000 0.5000
```

Results
Total energy in Ry/atom: -0.688
SG: No. 123
Magnetic moment in μB/f.u.: 0.00
Calculated volume in A^3/atom: 22.82
Crystal system: tetragonal
E_form in kJ per mole of atoms: -9


# 6
# PmHf2Rh2

A relaxed structure of PmHf2Rh2 (GGA-PBE, Alexandria).

```
PmHf2Rh2
1.0
-2.2437 2.2437 5.4750
2.2437 -2.2437 5.4750
2.2437 2.2437 -5.4750
Pm Hf Rh
1 2 2
direct
0.0000 0.0000 0.0000
0.2500 0.7500 0.5000
0.7500 0.2500 0.5000
0.3798 0.3798 0.0000
0.6202 0.6202 0.0000
```

Results
Total energy in Ry/atom: -0.629
SG: No. 139
Magnetic moment in μB/f.u.: 0.00
Calculated volume in A^3/atom: 22.05
Crystal system: tetragonal
E_form in kJ per mole of atoms: -66


# 7
# PmHfRh2

A relaxed structure of PmHfRh2 (GGA-PBE, Alexandria).

```
PmHfRh2
1.0
0.0000 3.3871 3.3871
3.3871 0.0000 3.3871
3.3871 3.3871 0.0000
Pm Hf Rh
1 1 2
direct
0.0000 0.0000 0.0000
0.5000 0.5000 0.5000
0.2500 0.2500 0.2500
0.7500 0.7500 0.7500
```

Results
Total energy in Ry/atom: -0.591
SG: No. 225
Energy above the lowest structure with this stoichiometry in eV per atom: 0.119
Magnetic moment in μB/f.u.: 0.00
Calculated volume in A^3/atom: 19.43
Crystal system: cubic
E_form in kJ per mole of atoms: -66


# 8
# PmHf4Rh5

A relaxed structure of PmHf4Rh5 (GGA-PBE, Alexandria).

```
PmHf4Rh5
1.0
3.2866 0.0000 0.0000
0.0000 3.2866 0.0000
0.0000 0.0000 17.0407
Pm Hf Rh
1 4 5
direct
0.0000 0.0000 0.0000
0.0000 0.0000 0.2106
0.0000 0.0000 0.4043
0.0000 0.0000 0.5957
0.0000 0.0000 0.7894
0.5000 0.5000 0.1291
0.5000 0.5000 0.3134
0.5000 0.5000 0.5000
0.5000 0.5000 0.6866
0.5000 0.5000 0.8709
```

Results
Total energy in Ry/atom: -0.661
SG: No. 123
Magnetic moment in μB/f.u.: 0.00
Calculated volume in A^3/atom: 18.41
Crystal system: tetragonal
E_form in kJ per mole of atoms: -83


# 9
# PmHf2Rh

A relaxed structure of PmHf2Rh (GGA-PBE, Alexandria).

```
PmHf2Rh
1.0
3.3416 0.0000 0.0000
0.0000 3.3416 0.0000
0.0000 0.0000 7.8745
Pm Hf Rh
1 2 1
direct
0.0000 0.0000 0.0000
0.5000 0.5000 0.3032
0.5000 0.5000 0.6968
0.0000 0.0000 0.5000
```

Results
Total energy in Ry/atom: -0.609
SG: No. 123
Energy above the lowest structure with this stoichiometry in eV per atom: 0.000
Magnetic moment in μB/f.u.: 0.00
Calculated volume in A^3/atom: 21.98
Crystal system: tetragonal
E_form in kJ per mole of atoms: -28


# 10
# PmHfRh

A relaxed structure of PmHfRh (GGA-PBE, Alexandria).

```
PmHfRh
1.0
-1.6985 1.6985 5.9392
1.6985 -1.6985 5.9392
1.6985 1.6985 -5.9392
Pm Hf Rh
1 1 1
direct
0.0000 0.0000 0.0000
0.2838 0.2838 0.0000
0.6806 0.6806 0.0000
```

Results
Total energy in Ry/atom: -0.572
SG: No. 107
Energy above the lowest structure with this stoichiometry in eV per atom: 0.170
Magnetic moment in μB/f.u.: 0.36
Calculated volume in A^3/atom: 22.84
Crystal system: tetragonal
E_form in kJ per mole of atoms: -42


# 11
# PmHfRh

A relaxed structure of PmHfRh (GGA-PBE, Alexandria).

```
PmHfRh
1.0
4.6228 0.0000 0.0000
0.0000 4.6228 0.0000
0.0000 0.0000 6.6867
Pm Hf Rh
2 2 2
direct
0.2500 0.2500 0.1280
0.7500 0.7500 0.8720
0.2500 0.7500 0.5000
0.7500 0.2500 0.5000
0.2500 0.2500 0.7000
0.7500 0.7500 0.3000
```

Results
Total energy in Ry/atom: -0.585
SG: No. 129
Energy above the lowest structure with this stoichiometry in eV per atom: 0.000
Magnetic moment in μB/f.u.: 0.00
Calculated volume in A^3/atom: 23.82
Crystal system: tetragonal
E_form in kJ per mole of atoms: -59


# 12
# PmHfRh4

A relaxed structure of PmHfRh4 (GGA-PBE, Alexandria).

```
PmHfRh4
1.0
0.0000 3.7464 3.7464
3.7464 0.0000 3.7464
3.7464 3.7464 0.0000
Pm Hf Rh
1 1 4
direct
0.0000 0.0000 0.0000
0.7500 0.7500 0.7500
0.3754 0.3754 0.3754
0.3754 0.3754 0.8737
0.3754 0.8737 0.3754
0.8737 0.3754 0.3754
```

Results
Total energy in Ry/atom: -0.583
SG: No. 216
Magnetic moment in μB/f.u.: 0.00
Calculated volume in A^3/atom: 17.53
Crystal system: cubic
E_form in kJ per mole of atoms: -56


# 13
# PmHfRh2

A relaxed structure of PmHfRh2 (GGA-PBE, Alexandria).

```
PmHfRh2
1.0
3.3328 0.0000 0.0000
0.0000 3.3328 0.0000
0.0000 0.0000 7.0317
Pm Hf Rh
1 1 2
direct
0.0000 0.0000 0.0000
0.0000 0.0000 0.5000
0.5000 0.5000 0.2860
0.5000 0.5000 0.7140
```

Results
Total energy in Ry/atom: -0.599
SG: No. 123
Energy above the lowest structure with this stoichiometry in eV per atom: 0.000
Magnetic moment in μB/f.u.: 0.00
Calculated volume in A^3/atom: 19.53
Crystal system: tetragonal
E_form in kJ per mole of atoms: -77


# 14
# PmHfRh2

A relaxed structure of PmHfRh2 (GGA-PBE, Alexandria).

```
PmHfRh2
1.0
2.2327 1.2891 4.7760
-2.2327 1.2891 4.7760
0.0000 -2.5782 4.7760
Pm Hf Rh
1 1 2
direct
0.0000 0.0000 0.0000
0.5000 0.5000 0.5000
0.2235 0.2235 0.2235
0.7765 0.7765 0.7765
```

Results
Total energy in Ry/atom: -0.591
SG: No. 166
Energy above the lowest structure with this stoichiometry in eV per atom: 0.107
Magnetic moment in μB/f.u.: 0.00
Calculated volume in A^3/atom: 20.62
Crystal system: trigonal
E_form in kJ per mole of atoms: -67


# 15
# PmHf2Rh3

A relaxed structure of PmHf2Rh3 (GGA-PBE, Alexandria).

```
PmHf2Rh3
1.0
3.2827 0.0000 0.0000
0.0000 3.2827 0.0000
0.0000 0.0000 10.5452
Pm Hf Rh
1 2 3
direct
0.0000 0.0000 0.0000
0.0000 0.0000 0.3411
0.0000 0.0000 0.6589
0.5000 0.5000 0.2053
0.5000 0.5000 0.5000
0.5000 0.5000 0.7947
```

Results
Total energy in Ry/atom: -0.634
SG: No. 123
Magnetic moment in μB/f.u.: 0.00
Calculated volume in A^3/atom: 18.94
Crystal system: tetragonal
E_form in kJ per mole of atoms: -82


# 16
# PmHf2Rh

A relaxed structure of PmHf2Rh (GGA-PBE, Alexandria).

```
PmHf2Rh
1.0
2.4307 1.4034 4.0004
-2.4307 1.4034 4.0004
0.0000 -2.8067 4.0004
Pm Hf Rh
1 2 1
direct
0.0000 0.0000 0.0000
0.2490 0.2490 0.2490
0.7510 0.7510 0.7510
0.5000 0.5000 0.5000
```

Results
Total energy in Ry/atom: -0.590
SG: No. 166
Energy above the lowest structure with this stoichiometry in eV per atom: 0.263
Magnetic moment in μB/f.u.: 0.00
Calculated volume in A^3/atom: 20.47
Crystal system: trigonal
E_form in kJ per mole of atoms: -2


# 17
# PmHfRuRh

A relaxed structure of PmHfRuRh (GGA-PBE, Alexandria).

```
PmHfRuRh
1.0
0.0000 3.3762 3.3762
3.3762 0.0000 3.3762
3.3762 3.3762 0.0000
Pm Hf Ru Rh
1 1 1 1
direct
0.0000 0.0000 0.0000
0.5000 0.5000 0.5000
0.7500 0.7500 0.7500
0.2500 0.2500 0.2500
```

Results
Total energy in Ry/atom: -0.615
SG: No. 216
Magnetic moment in μB/f.u.: 0.00
Calculated volume in A^3/atom: 19.24
Crystal system: cubic
E_form in kJ per mole of atoms: -52


# 18
# PmHfTcRh

A relaxed structure of PmHfTcRh (GGA-PBE, Alexandria).

```
PmHfTcRh
1.0
0.0000 3.3756 3.3756
3.3756 0.0000 3.3756
3.3756 3.3756 0.0000
Pm Hf Tc Rh
1 1 1 1
direct
0.0000 0.0000 0.0000
0.5000 0.5000 0.5000
0.7500 0.7500 0.7500
0.2500 0.2500 0.2500
```

Results
Total energy in Ry/atom: -0.624
SG: No. 216
Magnetic moment in μB/f.u.: 0.00
Calculated volume in A^3/atom: 19.23
Crystal system: cubic
E_form in kJ per mole of atoms: -37


# 19
# PmHfZnRh

A relaxed structure of PmHfZnRh (GGA-PBE, Alexandria).

```
PmHfZnRh
1.0
0.0000 3.4356 3.4356
3.4356 0.0000 3.4356
3.4356 3.4356 0.0000
Pm Hf Zn Rh
1 1 1 1
direct
0.0000 0.0000 0.0000
0.5000 0.5000 0.5000
0.7500 0.7500 0.7500
0.2500 0.2500 0.2500
```

Results
Total energy in Ry/atom: -0.455
SG: No. 216
Magnetic moment in μB/f.u.: 0.00
Calculated volume in A^3/atom: 20.27
Crystal system: cubic
E_form in kJ per mole of atoms: -35


# 20
# PmHfRu4

A relaxed structure of PmHfRu4 (GGA-PBE, Alexandria).

```
PmHfRu4
1.0
0.0000 3.7455 3.7455
3.7455 0.0000 3.7455
3.7455 3.7455 0.0000
Pm Hf Ru
1 1 4
direct
0.0000 0.0000 0.0000
0.2500 0.2500 0.2500
0.1265 0.6245 0.6245
0.6245 0.1265 0.6245
0.6245 0.6245 0.1265
0.6245 0.6245 0.6245
```

Results
Total energy in Ry/atom: -0.650
SG: No. 216
Magnetic moment in μB/f.u.: 0.00
Calculated volume in A^3/atom: 17.51
Crystal system: cubic
E_form in kJ per mole of atoms: -21